[1]
First-principles (PBE) data for an optimized crystal structure of Tb3HoPb2C2, as listed in the Open Quantum Materials Database.

Calculated values
SG: P3m1 (156)

Cell lengths 3.6470, 3.6470, 16.1993 Å; angles 90.00, 90.00, 120.00 degrees
Sites, in units of the cell vectors:
Tb: 0.6667 0.3333 0.0824
Tb: 0.6667 0.3333 0.4169
Ho: 0.0000 0.0000 0.9179
Tb: 0.0000 0.0000 0.5830
C: 0.3333 0.6667 0.5002
Pb: 0.6667 0.3333 0.7508
Pb: 0.0000 0.0000 0.2500
C: 0.3333 0.6667 0.9990



[2]
First-principles (PBE) data for an optimized crystal structure of TbHoPbC, as listed in the Open Quantum Materials Database.

Calculated values
SG: P-6m2 (187)

Cell lengths 3.6389, 3.6389, 16.1488 Å; angles 90.00, 90.00, 120.00 degrees
Sites, in units of the cell vectors:
C: 0.0000 0.0000 0.7488
C: 0.0000 0.0000 0.2512
Ho: 0.6667 0.3333 0.6677
Pb: 0.3333 0.6667 0.5000
Tb: 0.3333 0.6667 0.8327
Pb: 0.6667 0.3333 0.0000
Ho: 0.6667 0.3333 0.3323
Tb: 0.3333 0.6667 0.1673



[3]
First-principles (PBE) data for an optimized crystal structure of TbHo3Pb2C2, as listed in the Open Quantum Materials Database.

Calculated values
SG: P3m1 (156)

Cell lengths 3.6294, 3.6294, 16.0988 Å; angles 90.00, 90.00, 120.00 degrees
Sites, in units of the cell vectors:
C: 0.0000 0.0000 0.5001
Pb: 0.3333 0.6667 0.7500
Ho: 0.6667 0.3333 0.5820
Pb: 0.6667 0.3333 0.2507
C: 0.0000 0.0000 0.9990
Tb: 0.3333 0.6667 0.0830
Ho: 0.6667 0.3333 0.9173
Ho: 0.3333 0.6667 0.4179



Number 1: energy -6.02 eV per atom. Number 2: energy -6.02 eV per atom. Number 3: energy -6.03 eV per atom.